# SmY3Sc8

SmY3Sc8 after structural relaxation (PBE, Alexandria via LeMat-Bulk).

Cell and atoms, written as CIF:
```
data_SmY3Sc8
_symmetry_space_group_name_H-M 'I -4 2 m'
_symmetry_Int_Tables_number 121
_symmetry_space_group_name_Hall 'I -4 2'
_cell_length_a 8.2956
_cell_length_b 8.2956
_cell_length_c 10.5335
_cell_angle_alpha 90.00
_cell_angle_beta 90.00
_cell_angle_gamma 90.00
loop_
_atom_site_label
_atom_site_fract_x
_atom_site_fract_y
_atom_site_fract_z
Sm1 0.0000 0.0000 0.0000
Y1 0.0000 0.0000 0.5000
Y2 0.0000 0.5000 0.2500
Sc1 0.1248 0.1248 0.7539
Sc2 0.2453 0.2453 0.0091
```

Values from the calculation:
crystal system	tetragonal
energy of formation	0.690	eV/atom
volume	362.4	Å³/f.u.
energy	-133.0	eV/cell